i.
First-principles (PBE) data for a geometry-optimized Zr2Cu2Te structure, as listed in the Alexandria database.

Computed properties:
Fermi-level density of states: 1.0247 states/eV per atom
calculated density: 7.06 g cm⁻³

a = 7.430 Å, b = 7.430 Å, c = 3.724 Å
α = 90.00°, β = 90.00°, γ = 90.00°
Space group P4/mbm (No. 127)
Asymmetric unit:
Zr: 0.160 0.340 0.000
Cu: 0.123 0.623 0.500
Te: 0.000 0.000 0.000

=====

ii.
First-principles (PBE) data for a geometry-optimized Zr2Cu2Te structure, as listed in the Alexandria database.

Computed properties:
Fermi-level density of states: 0.9882 states/eV per atom
calculated density: 7.78 g cm⁻³

a = 6.816 Å, b = 6.816 Å, c = 4.015 Å
α = 90.00°, β = 90.00°, γ = 90.00°
Space group P4/mbm (No. 127)
Asymmetric unit:
Zr: 0.166 0.334 0.000
Cu: 0.124 0.624 0.500
Te: 0.000 0.000 0.500

=====

Short version: ii is the most stable of them.

=====

i.
First-principles (PBE) data for a geometry-optimized ThTiCu structure, as listed in the Alexandria database.

Computed properties:
Fermi-level density of states: 1.2294 states/eV per atom
calculated density: 8.79 g cm⁻³

a = 12.895 Å, b = 3.418 Å, c = 5.891 Å
α = 90.00°, β = 90.00°, γ = 90.00°
Space group Amm2 (No. 38)
Asymmetric unit:
Th: 0.178 0.000 0.000
Ti: 0.371 0.000 0.335
Cu: 0.000 0.000 0.335
Cu: 0.500 0.000 0.001

=====

ii.
First-principles (PBE) data for a geometry-optimized ThTiCu structure, as listed in the Alexandria database.

Computed properties:
Fermi-level density of states: 1.3187 states/eV per atom
calculated density: 8.64 g cm⁻³

a = 4.3153 Å, b = 4.3153 Å, c = 4.0917 Å
α = 90.00°, β = 90.00°, γ = 120.00°
Space group P-6m2 (No. 187)
Asymmetric unit:
Th: 0.0000 0.0000 0.0000
Ti: 0.3333 0.6667 0.5000
Cu: 0.6667 0.3333 0.5000

=====

Short version: ii is the most stable of them.

=====

i.
First-principles (PBE) data for a geometry-optimized Th2TlCu structure, as listed in the Alexandria database.

Computed properties:
Fermi-level density of states: 0.6850 states/eV per atom
calculated density: 11.34 g cm⁻³

a = 7.541 Å, b = 7.541 Å, c = 7.541 Å
α = 90.00°, β = 90.00°, γ = 90.00°
Space group Fm-3m (No. 225)
Asymmetric unit:
Th: 0.250 0.250 0.250
Tl: 0.000 0.000 0.000
Cu: 0.000 0.000 0.500

=====

ii.
First-principles (PBE) data for a geometry-optimized Th2TlCu structure, as listed in the Alexandria database.

Computed properties:
Fermi-level density of states: 1.0157 states/eV per atom
calculated density: 10.33 g cm⁻³

a = 3.5058 Å, b = 3.5058 Å, c = 33.1621 Å
α = 90.00°, β = 90.00°, γ = 120.00°
Space group R-3m (No. 166, hexagonal axes)
Asymmetric unit:
Th: 0.0000 0.0000 0.1016
Tl: 0.0000 0.0000 0.0000
Cu: 0.0000 0.0000 0.5000

=====

iii.
First-principles (PBE) data for a geometry-optimized Th2TlCu structure, as listed in the Alexandria database.

Computed properties:
Fermi-level density of states: 1.4270 states/eV per atom
calculated density: 11.66 g cm⁻³

a = 8.807 Å, b = 9.717 Å, c = 9.743 Å
α = 90.00°, β = 90.00°, γ = 90.00°
Space group Fmmm (No. 69)
Asymmetric unit:
Th: 0.223 0.000 0.000
Th: 0.250 0.250 0.250
Tl: 0.000 0.000 0.280
Cu: 0.000 0.227 0.500

=====

Short version: iii is the most stable of them.

=====

i.
First-principles (PBE) data for a geometry-optimized Th2TlCu structure, as listed in the Alexandria database.

Computed properties:
Fermi-level density of states: 1.0829 states/eV per atom
calculated density: 11.73 g cm⁻³

a = 3.430 Å, b = 3.430 Å, c = 8.814 Å
α = 90.00°, β = 90.00°, γ = 90.00°
Space group P4/mmm (No. 123)
Asymmetric unit:
Th: 0.000 0.000 0.218
Tl: 0.500 0.500 0.500
Cu: 0.500 0.500 0.000

=====

ii.
First-principles (PBE) data for a geometry-optimized Th2TlCu structure, as listed in the Alexandria database.

Computed properties:
Fermi-level density of states: 1.2450 states/eV per atom
calculated density: 11.63 g cm⁻³

a = 4.829 Å, b = 4.829 Å, c = 4.480 Å
α = 90.00°, β = 90.00°, γ = 90.00°
Space group P4/mmm (No. 123)
Asymmetric unit:
Th: 0.000 0.500 0.000
Tl: 0.000 0.000 0.500
Cu: 0.500 0.500 0.500

=====

Short version: i is the most stable of them.